No. 1
4
Lattice="0.000 3.129 3.129 3.129 0.000 3.129 3.129 3.129 0.000" Properties=species:S:1:pos:R:3 comment="TaFePt2 (PBE, relaxed)" ef_ev_per_atom=-0.2951 density_g_cm3=17.0 pbc="T T T"
Ta 3.129 3.129 3.129
Pt 0.000 0.000 0.000
Fe 1.564 1.564 1.564
Pt 4.693 4.693 4.693

***

No. 2
3
Lattice="0.000 2.670 2.670 2.670 0.000 2.670 2.670 2.670 0.000" Properties=species:S:1:pos:R:3 comment="CuTcB (PBE, relaxed)" polymorph_energy_kj_per_mol_atoms=13.92 density_g_cm3=7.5 pbc="T T T"
Tc 4.005 4.005 4.005
B 1.335 1.335 1.335
Cu 0.000 0.000 0.000

***

No. 3
6
Lattice="4.337 0.000 0.000 0.000 2.207 8.140 0.000 -2.207 8.140" Properties=species:S:1:pos:R:3 comment="HoErSn4 (PBE, relaxed)" final_energy_ev_per_atom=-4.7615 density_g_cm3=8.6 pbc="T T T"
Sn 2.169 0.000 1.047
Sn 0.000 0.000 4.037
Sn 0.000 0.000 15.238
Sn 2.169 0.000 12.236
Er 0.000 0.000 9.743
Ho 2.169 0.000 6.538

***

No. 4
24
Lattice="-5.155 -2.336 0.994 -1.456 -1.495 5.353 -2.415 12.164 -0.295" Properties=species:S:1:pos:R:3 comment="Sc2Ta4As3N3 (PBE, relaxed)" final_energy_ev_per_atom=-9.2121 density_g_cm3=10.5 pbc="T T T"
Ta -5.068 -1.832 5.308
Ta -2.117 4.226 1.637
N -5.928 3.662 2.488
Ta -2.466 6.670 0.202
N -6.077 10.350 1.326
As -5.915 6.622 4.434
N -0.728 -0.748 2.677
N -2.947 -2.018 4.726
N -3.097 4.671 3.564
Sc -4.735 5.518 2.322
As -6.690 6.850 1.097
Sc -6.107 8.758 2.862
As -5.375 0.389 3.795
As -3.110 1.711 1.618
Sc -2.918 -0.425 3.190
Sc -4.289 2.815 3.729
N -3.785 4.914 0.349
As -2.335 1.483 4.955
As -3.649 7.944 2.257
Ta -6.559 1.663 5.849
Ta -0.674 0.720 1.038
Ta -8.350 7.612 5.013
Ta -3.957 10.165 0.743
Ta -6.908 4.107 4.415

***

- What is the formula in the first record?
  TaFePt2